P:
The following is a PBE-GGA calculation of crystalline Pm3MgCd at its relaxed geometry, from the Alexandria database.

Unit cell a=6.944 b=8.664 c=10.314 alpha=72.69 beta=90.00 gamma=90.00
Fractional coordinates of all 20 atoms:
Cd1 0.750 0.623 0.594
Cd2 0.250 0.377 0.406
Mg1 0.250 0.004 0.499
Pm1 0.751 0.412 0.397
Cd3 0.750 0.623 0.094
Cd4 0.250 0.377 0.906
Pm2 0.251 0.588 0.103
Pm3 0.003 0.214 0.196
Pm4 0.497 0.211 0.198
Pm5 0.749 0.412 0.897
Pm6 0.503 0.789 0.802
Pm7 0.003 0.211 0.698
Mg2 0.750 0.996 0.001
Pm8 0.497 0.214 0.696
Mg3 0.250 0.004 0.999
Pm9 0.249 0.588 0.603
Pm10 0.997 0.789 0.302
Pm11 0.503 0.786 0.304
Pm12 0.997 0.786 0.804
Mg4 0.750 0.996 0.501

Results
Crystal system   monoclinic

Q:
The following is a PBE-GGA calculation of crystalline Pm3MgCd at its relaxed geometry, from the Alexandria database.

Unit cell a=5.375 b=5.369 c=10.662 alpha=90.00 beta=75.40 gamma=90.00
Fractional coordinates of all 10 atoms:
Pm1 0.265 0.750 0.119
Pm2 0.074 0.750 0.500
Mg1 0.170 0.250 0.308
Mg2 0.478 0.750 0.692
Pm3 0.384 0.250 0.881
Cd1 0.668 0.750 0.312
Pm4 0.574 0.250 0.500
Cd2 0.980 0.250 0.688
Pm5 0.763 0.250 0.123
Pm6 0.886 0.750 0.877

Results
Crystal system   orthorhombic

Relative to the most stable one, in meV/atom, the structures come out at P 51; Q 0.

P:
The following is a PBE-GGA calculation of crystalline PmMgCd2 at its relaxed geometry, from the Alexandria database.

Unit cell a=5.165 b=5.165 c=5.165 alpha=60.00 beta=60.00 gamma=60.00
Fractional coordinates of all 4 atoms:
Cd1 0.250 0.250 0.250
Mg1 0.500 0.500 0.500
Cd2 0.750 0.750 0.750
Pm1 0.000 0.000 0.000

Results
Crystal system   cubic

Q:
The following is a PBE-GGA calculation of crystalline PmMgCd2 at its relaxed geometry, from the Alexandria database.

Unit cell a=4.468 b=4.776 c=4.776 alpha=90.00 beta=90.00 gamma=90.00
Fractional coordinates of all 4 atoms:
Pm1 0.500 0.000 0.000
Cd1 0.000 0.000 0.500
Cd2 0.000 0.500 0.000
Mg1 0.500 0.500 0.500

Results
Crystal system   tetragonal

Relative to the most stable one, in meV/atom, the structures come out at P 0; Q 103.